[1]
This record from Alexandria describes a relaxed K2Ca2H crystal. The functional is PBE.

a = 7.251 Å, b = 7.251 Å, c = 7.738 Å
α = 90.00°, β = 90.00°, γ = 90.00°
Fractional positions:
K (0.181, 0.319, 0.000)
K (0.319, 0.819, 0.000)
K (0.681, 0.181, 0.000)
K (0.819, 0.681, 0.000)
Ca (0.192, 0.692, 0.500)
Ca (0.308, 0.192, 0.500)
Ca (0.692, 0.808, 0.500)
Ca (0.808, 0.308, 0.500)
H (0.000, 0.000, 0.500)
H (0.500, 0.500, 0.500)

Calculated values
As for the distance to the lowest polymorph of the same formula: 0.0000 eV/atom. The total DFT energy (no corrections) comes out at -1.764 eV per atom.



[2]
This record from Alexandria describes a relaxed KCa3H crystal. The functional is PBE.

a = 5.559 Å, b = 5.559 Å, c = 5.559 Å
α = 90.00°, β = 90.00°, γ = 90.00°
Fractional positions:
K (0.000, 0.000, 0.000)
Ca (0.000, 0.500, 0.500)
Ca (0.500, 0.000, 0.500)
Ca (0.500, 0.500, 0.000)
H (0.500, 0.500, 0.500)

Calculated values
As for the distance to the lowest polymorph of the same formula: 0.0000 eV/atom. The total DFT energy (no corrections) comes out at -2.026 eV per atom.



[3]
This record from Alexandria describes a relaxed K3CaMg2H9 crystal. The functional is PBE.

a = 5.838 Å, b = 5.838 Å, c = 7.199 Å
α = 90.00°, β = 90.00°, γ = 120.00°
Fractional positions:
K (0.000, 0.000, 0.000)
K (0.333, 0.667, 0.679)
K (0.667, 0.333, 0.321)
Ca (0.000, 0.000, 0.500)
Mg (0.333, 0.667, 0.160)
Mg (0.667, 0.333, 0.840)
H (0.000, 0.500, 0.000)
H (0.176, 0.351, 0.318)
H (0.176, 0.824, 0.318)
H (0.351, 0.176, 0.682)
H (0.500, 0.000, 0.000)
H (0.500, 0.500, 0.000)
H (0.649, 0.824, 0.318)
H (0.824, 0.176, 0.682)
H (0.824, 0.649, 0.682)

Calculated values
The total DFT energy (no corrections) comes out at -2.886 eV per atom.



[4]
This record from Alexandria describes a relaxed K2CaMgH6 crystal. The functional is PBE.

a = 4.259 Å, b = 4.259 Å, c = 8.357 Å
α = 90.00°, β = 90.00°, γ = 90.00°
Fractional positions:
K (0.000, 0.000, 0.232)
K (0.000, 0.000, 0.768)
Ca (0.500, 0.500, 0.500)
Mg (0.500, 0.500, 0.000)
H (0.000, 0.500, 0.000)
H (0.000, 0.500, 0.500)
H (0.500, 0.000, 0.000)
H (0.500, 0.000, 0.500)
H (0.500, 0.500, 0.229)
H (0.500, 0.500, 0.771)

Calculated values
The total DFT energy (no corrections) comes out at -2.913 eV per atom.



[5]
This record from Alexandria describes a relaxed K2CaMg5Si8H2O24 crystal. The functional is PBE.

a = 5.337 Å, b = 10.349 Å, c = 10.511 Å
α = 115.31°, β = 97.37°, γ = 104.78°
Fractional positions:
K (0.000, 0.000, 0.000)
K (0.289, 0.790, 0.580)
Ca (0.565, 0.565, 0.130)
Mg (0.196, 0.196, 0.391)
Mg (0.374, 0.374, 0.749)
Mg (0.604, 0.103, 0.207)
Mg (0.784, 0.284, 0.568)
Mg (0.965, 0.465, 0.930)
Si (0.089, 0.398, 0.230)
Si (0.141, 0.832, 0.230)
Si (0.422, 0.734, 0.914)
Si (0.491, 0.180, 0.914)
Si (0.668, 0.470, 0.400)
Si (0.732, 0.930, 0.400)
Si (0.831, 0.635, 0.739)
Si (0.908, 0.104, 0.739)
H (0.220, 0.484, 0.572)
H (0.352, 0.088, 0.571)
O (0.009, 0.242, 0.239)
O (0.112, 0.408, 0.083)
O (0.147, 0.744, 0.825)
O (0.173, 0.388, 0.572)
O (0.177, 0.073, 0.797)
O (0.230, 0.997, 0.239)
O (0.347, 0.572, 0.918)
O (0.400, 0.185, 0.572)
O (0.410, 0.509, 0.340)
O (0.418, 0.812, 0.310)
O (0.497, 0.179, 0.065)
O (0.567, 0.886, 0.065)
O (0.571, 0.346, 0.918)
O (0.587, 0.306, 0.395)
O (0.620, 0.724, 0.797)
O (0.678, 0.082, 0.825)
O (0.759, 0.477, 0.745)
O (0.761, 0.962, 0.570)
O (0.808, 0.089, 0.395)
O (0.809, 0.609, 0.570)
O (0.893, 0.498, 0.310)
O (0.930, 0.832, 0.340)
O (0.971, 0.675, 0.083)
O (0.986, 0.268, 0.745)

Calculated values
The total DFT energy (no corrections) comes out at -6.990 eV per atom.



[6]
This record from Alexandria describes a relaxed K2CaMnH6 crystal. The functional is PBE.

a = 5.917 Å, b = 5.917 Å, c = 5.536 Å
α = 90.00°, β = 90.00°, γ = 120.00°
Fractional positions:
K (0.333, 0.667, 0.377)
K (0.667, 0.333, 0.623)
Ca (0.000, 0.000, 0.000)
Mn (0.000, 0.000, 0.500)
H (0.135, 0.270, 0.679)
H (0.135, 0.865, 0.679)
H (0.270, 0.135, 0.321)
H (0.730, 0.865, 0.679)
H (0.865, 0.135, 0.321)
H (0.865, 0.730, 0.321)

Calculated values
The total DFT energy (no corrections) comes out at -3.544 eV per atom.



[7]
This record from Alexandria describes a relaxed KNaCa2H crystal. The functional is PBE.

a = 5.176 Å, b = 5.176 Å, c = 6.225 Å
α = 90.00°, β = 90.00°, γ = 90.00°
Fractional positions:
K (0.000, 0.000, 0.000)
Na (0.500, 0.500, 0.000)
Ca (0.000, 0.500, 0.500)
Ca (0.500, 0.000, 0.500)
H (0.000, 0.000, 0.500)

Calculated values
The total DFT energy (no corrections) comes out at -1.943 eV per atom.



[8]
This record from Alexandria describes a relaxed KCa2NbH crystal. The functional is PBE.

a = 6.300 Å, b = 6.300 Å, c = 3.708 Å
α = 90.00°, β = 90.00°, γ = 90.00°
Fractional positions:
K (0.000, 0.000, 0.000)
Ca (0.000, 0.500, 0.500)
Ca (0.500, 0.000, 0.500)
Nb (0.500, 0.500, 0.500)
H (0.500, 0.500, 0.000)

Calculated values
The total DFT energy (no corrections) comes out at -3.035 eV per atom.



[9]
This record from Alexandria describes a relaxed KCaNiH6 crystal. The functional is PBE.

a = 4.939 Å, b = 4.939 Å, c = 5.216 Å
α = 90.00°, β = 90.00°, γ = 120.00°
Fractional positions:
K (0.000, 0.000, 0.000)
Ca (0.333, 0.667, 0.511)
Ni (0.667, 0.333, 0.647)
H (0.360, 0.180, 0.478)
H (0.520, 0.039, 0.827)
H (0.520, 0.480, 0.827)
H (0.820, 0.180, 0.478)
H (0.820, 0.640, 0.478)
H (0.961, 0.480, 0.827)

Calculated values
The total DFT energy (no corrections) comes out at -3.467 eV per atom.



[10]
This record from Alexandria describes a relaxed KCaNiH4 crystal. The functional is PBE.

a = 5.214 Å, b = 5.378 Å, c = 7.472 Å
α = 90.00°, β = 102.83°, γ = 90.00°
Fractional positions:
K (0.203, 0.250, 0.411)
K (0.797, 0.750, 0.589)
Ca (0.297, 0.750, 0.039)
Ca (0.703, 0.250, 0.961)
Ni (0.153, 0.250, 0.831)
Ni (0.847, 0.750, 0.169)
H (0.119, 0.750, 0.319)
H (0.277, 0.505, 0.782)
H (0.277, 0.995, 0.782)
H (0.287, 0.250, 0.040)
H (0.713, 0.750, 0.960)
H (0.723, 0.005, 0.218)
H (0.723, 0.495, 0.218)
H (0.881, 0.250, 0.681)

Calculated values
The total DFT energy (no corrections) comes out at -3.480 eV per atom.



[11]
This record from Alexandria describes a relaxed KCa2NiH crystal. The functional is PBE.

a = 5.751 Å, b = 5.751 Å, c = 4.147 Å
α = 90.00°, β = 90.00°, γ = 90.00°
Fractional positions:
K (0.000, 0.000, 0.000)
Ca (0.000, 0.500, 0.500)
Ca (0.500, 0.000, 0.500)
Ni (0.500, 0.500, 0.500)
H (0.500, 0.500, 0.000)

Calculated values
The total DFT energy (no corrections) comes out at -2.394 eV per atom.



[12]
This record from Alexandria describes a relaxed K2CaNi3H12 crystal. The functional is PBE.

a = 6.236 Å, b = 6.236 Å, c = 6.236 Å
α = 61.86°, β = 61.86°, γ = 61.86°
Fractional positions:
K (0.109, 0.109, 0.109)
K (0.891, 0.891, 0.891)
Ca (0.500, 0.500, 0.500)
Ni (0.000, 0.500, 0.500)
Ni (0.500, 0.000, 0.500)
Ni (0.500, 0.500, 0.000)
H (0.075, 0.614, 0.614)
H (0.219, 0.219, 0.584)
H (0.219, 0.584, 0.219)
H (0.386, 0.386, 0.925)
H (0.386, 0.925, 0.386)
H (0.416, 0.781, 0.781)
H (0.584, 0.219, 0.219)
H (0.614, 0.075, 0.614)
H (0.614, 0.614, 0.075)
H (0.781, 0.416, 0.781)
H (0.781, 0.781, 0.416)
H (0.925, 0.386, 0.386)

Calculated values
The total DFT energy (no corrections) comes out at -3.633 eV per atom.